An optimized crystal structure of Na2LiMnW, computed with GGA-PBE.

Lattice parameters (Å, degrees): 5.182 4.674 5.182 90.00 90.00 90.00
Site moments in Bohr magnetons follow the coordinates.
Positions (direct):
Na 0.000 0.000 0.500  0.01
Na 0.500 0.000 0.000  0.01
Li 0.000 0.500 0.000  0.01
Mn 0.000 0.000 0.000  0.16
W 0.500 0.500 0.500  3.14

Volume (Å³ per atom): 25.10
ΔH_f (0 K) (eV/atom): 2.26